A geometry-optimized ScVF2 structure, computed with PBE with a Hubbard U.

The space group is I-42d (No. 122) and the conventional cell measures 5.049, 5.049 and 10.026 Å, with angles of 90.00, 90.00 and 90.00 degrees. Symmetry generates all atoms from Sc at (0.000, 0.000, 0.000), V at (0.000, 0.000, 0.500) and F at (0.237, 0.250, 0.125).

The total energy comes out at -5.8865 eV per atom. As for the crystal system: tetragonal. The mass density is 3.480 g cm⁻³.